(1)
First-principles (GGA-PBE) data for a relaxed structure of Pm2HoSc3, as listed in Alexandria via LeMat-Bulk.

a b c (Å): 11.026 8.757 7.374
angles (deg): 50.35 41.61 50.98
Fractional positions:
Pm: 0.908 0.264 0.388
Pm: 0.560 0.236 0.112
Pm: 0.440 0.764 0.888
Pm: 0.092 0.736 0.612
Ho: 0.000 0.500 0.500
Ho: 0.000 0.000 0.000
Sc: 0.288 0.250 0.750
Sc: 0.712 0.750 0.250
Sc: 0.320 0.027 0.304
Sc: 0.650 0.473 0.196
Sc: 0.680 0.973 0.696
Sc: 0.350 0.527 0.804

Properties
As for the density of states at the Fermi level: 1.67 states/eV per atom. As for the space group: C2/c, No. 15. The calculation puts the energy relative to the elements at 0.208 eV/atom. The energy above the lowest structure with this stoichiometry is 0.127 eV/atom. The value obtained for the total moment is 0.000 μB per atom.

(2)
First-principles (GGA-PBE) data for a relaxed structure of Pm2HoSc, as listed in Alexandria via LeMat-Bulk.

a b c (Å): 3.376 5.682 13.047
angles (deg): 90.00 90.00 90.00
Fractional positions:
Pm: 0.750 0.750 0.186
Pm: 0.250 0.250 0.814
Pm: 0.750 0.250 0.308
Pm: 0.250 0.750 0.692
Ho: 0.250 0.750 0.431
Ho: 0.750 0.250 0.569
Sc: 0.750 0.250 0.041
Sc: 0.250 0.750 0.959

Properties
As for the density of states at the Fermi level: 2.11 states/eV per atom. As for the space group: Pmmn, No. 59. The calculation puts the energy relative to the elements at 0.193 eV/atom. The energy above the lowest structure with this stoichiometry is 0.153 eV/atom. The value obtained for the total moment is 0.006 μB per atom.

(3)
First-principles (GGA-PBE) data for a relaxed structure of PmHo4Sc8, as listed in Alexandria via LeMat-Bulk.

a b c (Å): 7.383 7.383 7.383
angles (deg): 90.12 90.12 90.12
Fractional positions:
Pm: 0.500 0.500 0.500
Ho: 0.500 0.000 0.500
Ho: 0.000 0.500 0.500
Ho: 0.500 0.500 0.000
Ho: 0.000 0.000 0.000
Sc: 0.238 0.760 0.238
Sc: 0.762 0.762 0.240
Sc: 0.762 0.240 0.762
Sc: 0.240 0.762 0.762
Sc: 0.761 0.761 0.761
Sc: 0.239 0.239 0.239
Sc: 0.760 0.238 0.238
Sc: 0.238 0.238 0.760

Properties
As for the density of states at the Fermi level: 1.87 states/eV per atom. As for the space group: R-3m, No. 166. The calculation puts the energy relative to the elements at 0.603 eV/atom. The value obtained for the total moment is 0.197 μB per atom.

(4)
First-principles (GGA-PBE) data for a relaxed structure of Pm6HoSc3, as listed in Alexandria via LeMat-Bulk.

a b c (Å): 9.728 9.728 6.817
angles (deg): 44.48 44.48 60.00
Fractional positions:
Pm: 0.900 0.563 0.299
Pm: 0.238 0.900 0.299
Pm: 0.563 0.238 0.299
Pm: 0.066 0.400 0.799
Pm: 0.735 0.066 0.799
Pm: 0.400 0.735 0.799
Ho: 0.900 0.900 0.301
Sc: 0.399 0.399 0.802
Sc: 0.641 0.641 0.076
Sc: 0.158 0.158 0.527

Properties
As for the density of states at the Fermi level: 1.91 states/eV per atom. As for the space group: R3, No. 146. The calculation puts the energy relative to the elements at 0.180 eV/atom. The energy above the lowest structure with this stoichiometry is 0.040 eV/atom. The value obtained for the total moment is 0.066 μB per atom.

(5)
First-principles (GGA-PBE) data for a relaxed structure of Pm6Ho3Sc, as listed in Alexandria via LeMat-Bulk.

a b c (Å): 6.219 11.055 11.055
angles (deg): 120.22 90.00 90.00
Fractional positions:
Pm: 0.042 0.711 0.621
Pm: 0.542 0.621 0.711
Pm: 0.353 0.521 0.945
Pm: 0.853 0.945 0.521
Pm: 0.425 0.955 0.045
Pm: 0.652 0.276 0.724
Pm: 0.152 0.724 0.276
Pm: 0.925 0.045 0.955
Pm: 0.353 0.055 0.479
Pm: 0.853 0.479 0.055
Pm: 0.042 0.379 0.289
Pm: 0.542 0.289 0.379
Ho: 0.463 0.947 0.725
Ho: 0.963 0.725 0.947
Ho: 0.071 0.386 0.614
Ho: 0.571 0.614 0.386
Ho: 0.963 0.053 0.275
Ho: 0.463 0.275 0.053
Sc: 0.123 0.201 0.799
Sc: 0.623 0.799 0.201

Properties
As for the density of states at the Fermi level: 1.33 states/eV per atom. As for the space group: Cmc2_1, No. 36. The calculation puts the energy relative to the elements at 0.139 eV/atom. The energy above the lowest structure with this stoichiometry is 0.000 eV/atom. The value obtained for the total moment is 0.000 μB per atom.

(6)
First-principles (GGA-PBE) data for a relaxed structure of PmHo5Sc5, as listed in Alexandria via LeMat-Bulk.

a b c (Å): 5.784 5.784 11.300
angles (deg): 90.00 90.00 120.00
Fractional positions:
Pm: 0.333 0.667 0.000
Ho: 0.667 0.333 0.162
Ho: 0.667 0.333 0.838
Ho: 0.333 0.667 0.323
Ho: 0.333 0.667 0.677
Ho: 0.000 0.000 0.000
Sc: 0.329 0.165 0.500
Sc: 0.000 0.000 0.269
Sc: 0.835 0.671 0.500
Sc: 0.835 0.165 0.500
Sc: 0.000 0.000 0.731

Properties
As for the density of states at the Fermi level: 1.99 states/eV per atom. As for the space group: P-6m2, No. 187. The calculation puts the energy relative to the elements at 0.241 eV/atom. The value obtained for the total moment is 0.238 μB per atom.

(7)
First-principles (GGA-PBE) data for a relaxed structure of Pm2Ho2Sc3, as listed in Alexandria via LeMat-Bulk.

a b c (Å): 6.605 9.778 6.352
angles (deg): 91.61 90.00 90.00
Fractional positions:
Pm: 0.232 0.185 0.604
Pm: 0.732 0.315 0.896
Pm: 0.268 0.685 0.104
Pm: 0.768 0.815 0.396
Ho: 0.741 0.695 0.887
Ho: 0.759 0.195 0.387
Ho: 0.241 0.805 0.613
Ho: 0.259 0.305 0.113
Sc: 0.500 0.500 0.500
Sc: 0.000 0.000 0.000
Sc: 0.088 0.495 0.715
Sc: 0.588 0.005 0.785
Sc: 0.412 0.995 0.215
Sc: 0.912 0.505 0.285

Properties
As for the density of states at the Fermi level: 1.76 states/eV per atom. As for the space group: P2_1/c, No. 14. The calculation puts the energy relative to the elements at 0.168 eV/atom. The energy above the lowest structure with this stoichiometry is 0.016 eV/atom. The value obtained for the total moment is 0.000 μB per atom.

(8)
First-principles (GGA-PBE) data for a relaxed structure of Pm2Ho6Sc3, as listed in Alexandria via LeMat-Bulk.

a b c (Å): 5.975 5.982 11.381
angles (deg): 84.94 79.83 60.04
Fractional positions:
Pm: 0.167 0.667 0.500
Pm: 0.833 0.333 0.500
Ho: 0.413 0.666 0.761
Ho: 0.747 0.000 0.761
Ho: 0.080 0.334 0.761
Ho: 0.253 0.000 0.239
Ho: 0.587 0.334 0.239
Ho: 0.920 0.666 0.239
Sc: 0.000 0.000 0.000
Sc: 0.335 0.331 0.000
Sc: 0.665 0.669 0.000

Properties
As for the density of states at the Fermi level: 1.56 states/eV per atom. As for the space group: C2/m, No. 12. The calculation puts the energy relative to the elements at 0.200 eV/atom. The value obtained for the total moment is 0.000 μB per atom.